No. 1
Entry from the Alexandria database: a relaxed structure of Tb6Pm3Ho2 (PBE).

abc: 32.156 32.156 32.156
angles: 6.39 6.39 6.39
Fractional coordinates of all 11 atoms:
1 Tb 0.092 0.092 0.092
2 Tb 0.182 0.182 0.182
3 Tb 0.364 0.364 0.364
4 Tb 0.636 0.636 0.636
5 Tb 0.818 0.818 0.818
6 Tb 0.908 0.908 0.908
7 Pm 0.000 0.000 0.000
8 Pm 0.272 0.272 0.272
9 Pm 0.728 0.728 0.728
10 Ho 0.455 0.455 0.455
11 Ho 0.545 0.545 0.545

The distance to the lowest polymorph of the same formula comes out at 0 meV per atom. The mass density comes out at 8.00 Mg/m³.

No. 2
Entry from the Alexandria database: a relaxed structure of SN (PBE).

abc: 7.050 7.050 7.050
angles: 90.00 90.00 90.00
Fractional coordinates of all 16 atoms:
1 S 0.188 0.188 0.812
2 S 0.188 0.812 0.188
3 S 0.312 0.312 0.312
4 S 0.312 0.688 0.688
5 S 0.688 0.312 0.688
6 S 0.688 0.688 0.312
7 S 0.812 0.188 0.188
8 S 0.812 0.812 0.812
9 N 0.189 0.189 0.189
10 N 0.189 0.811 0.811
11 N 0.311 0.311 0.689
12 N 0.311 0.689 0.311
13 N 0.689 0.311 0.311
14 N 0.689 0.689 0.689
15 N 0.811 0.189 0.811
16 N 0.811 0.811 0.189

For the uncorrected energy, the calculation gives -5.232 eV/atom. The mass density comes out at 1.75 Mg/m³.